(1)
Below is Sc5Bi2C after structural relaxation, with properties calculated at the PBE-GGA level.

Results
SG: Cmcm
Fermi-level density of states (states/eV/cell): 18.2

abc: 4.7031 7.9617 12.3069
angles: 90.00 90.00 107.18
With the nearest neighbours (Å) after each atom.
Element x y z (fractional)
Sc 0.7263 0.4525 0.5898  1 C 2.36
Sc 0.7263 0.4525 0.9102  1 C 2.36
Sc 0.9207 0.8414 0.8710  1 C 2.23
Sc 0.0793 0.1586 0.3710  1 C 2.23
Sc 0.9207 0.8414 0.6290  1 C 2.23
Sc 0.2947 0.5895 0.7500  2 C 2.37
Sc 0.0793 0.1586 0.1290  1 C 2.23
Sc 0.7053 0.4105 0.2500  2 C 2.37
Sc 0.2737 0.5475 0.0898  1 C 2.36
Sc 0.2737 0.5475 0.4102  1 C 2.36
Bi 0.1183 0.2366 0.6055  5 Sc 2.87-3.22
Bi 0.8817 0.7634 0.3945  5 Sc 2.87-3.22
Bi 0.8817 0.7634 0.1055  5 Sc 2.87-3.22
Bi 0.1183 0.2366 0.8945  5 Sc 2.87-3.22
C 0.8115 0.6230 0.7500  6 Sc 2.23-2.37
C 0.1885 0.3770 0.2500  6 Sc 2.23-2.37

***

(2)
Below is Sc5Bi2C after structural relaxation, with properties calculated at the PBE-GGA level.

Results
SG: Pnma
Fermi-level density of states (states/eV/cell): 30.0

abc: 6.3429 8.2207 13.5539
angles: 90.00 90.00 90.00
With the nearest neighbours (Å) after each atom.
Element x y z (fractional)
Sc 0.9916 0.6365 0.9001  1 C 2.24
Sc 0.0084 0.8635 0.4001  1 C 2.24
Sc 0.5084 0.1365 0.5999  1 C 2.24
Sc 0.7500 0.7259 0.1050  1 C 2.25
Sc 0.2500 0.2741 0.8950  1 C 2.25
Sc 0.0000 0.5000 0.5000  2 C 2.29
Sc 0.4916 0.8635 0.4001  1 C 2.24
Sc 0.9916 0.1365 0.5999  1 C 2.24
Sc 0.0084 0.3635 0.0999  1 C 2.24
Sc 0.7500 0.9449 0.7992  1 C 2.28
Sc 0.5000 0.0000 0.0000  2 C 2.29
Sc 0.2500 0.0551 0.2008  1 C 2.28
Sc 0.2500 0.5551 0.2992  1 C 2.28
Sc 0.5000 0.5000 0.5000  2 C 2.29
Sc 0.5084 0.6365 0.9001  1 C 2.24
Sc 0.7500 0.4449 0.7008  1 C 2.28
Sc 0.2500 0.7741 0.6050  1 C 2.25
Sc 0.7500 0.2259 0.3950  1 C 2.25
Sc 0.0000 0.0000 0.0000  2 C 2.29
Sc 0.4916 0.3635 0.0999  1 C 2.24
Bi 0.2500 0.2071 0.4060  10 Sc 3.05-3.21
Bi 0.2500 0.9383 0.8013  8 Sc 2.98-3.26
Bi 0.7500 0.5617 0.3013  8 Sc 2.98-3.26
Bi 0.7500 0.0617 0.1987  8 Sc 2.98-3.26
Bi 0.7500 0.7929 0.5940  10 Sc 3.05-3.21
Bi 0.2500 0.4383 0.6987  8 Sc 2.98-3.26
Bi 0.2500 0.7071 0.0940  10 Sc 3.05-3.21
Bi 0.7500 0.2929 0.9060  10 Sc 3.05-3.21
C 0.2500 0.1815 0.0514  6 Sc 2.24-2.29
C 0.7500 0.3185 0.5514  6 Sc 2.24-2.29
C 0.7500 0.8185 0.9486  6 Sc 2.24-2.29
C 0.2500 0.6815 0.4486  6 Sc 2.24-2.29

***

The most stable of them is (2).

***

(1)
Below is ScBi3C after structural relaxation, with properties calculated at the PBE-GGA level.

Results
SG: Pm-3m
Fermi-level density of states (states/eV/cell): 5.1

abc: 5.0017 5.0017 5.0017
angles: 90.00 90.00 90.00
With the nearest neighbours (Å) after each atom.
Element x y z (fractional)
Bi 0.0000 0.0000 0.5000  2 C 2.50
Bi 0.0000 0.5000 0.0000  2 C 2.50
Bi 0.5000 0.0000 0.0000  2 C 2.50
C 0.0000 0.0000 0.0000  6 Bi 2.50
Sc 0.5000 0.5000 0.5000  12 Bi 3.54

***

(2)
Below is ScBi3C after structural relaxation, with properties calculated at the PBE-GGA level.

Results
SG: Pm-3m
Fermi-level density of states (states/eV/cell): 6.4

abc: 5.5684 5.5684 5.5684
angles: 90.00 90.00 90.00
With the nearest neighbours (Å) after each atom.
Element x y z (fractional)
Sc 0.0000 0.0000 0.0000  6 Bi 2.78
Bi 0.0000 0.5000 0.0000  2 Sc 2.78
Bi 0.0000 0.0000 0.5000  2 Sc 2.78
Bi 0.5000 0.0000 0.0000  2 Sc 2.78
C 0.5000 0.5000 0.5000  12 Bi 3.94

***

The most stable of them is (1).

***

(1)
Below is Sc2Bi2C after structural relaxation, with properties calculated at the PBE-GGA level.

Results
SG: P4/mbm
Fermi-level density of states (states/eV/cell): 2.6

abc: 7.3713 7.3713 4.2618
angles: 90.00 90.00 90.00
With the nearest neighbours (Å) after each atom.
Element x y z (fractional)
C 0.0000 0.0000 0.0000  4 Bi 2.75
C 0.5000 0.5000 0.0000  4 Bi 2.75
Sc 0.1482 0.6482 0.5000  6 Bi 2.89-3.14, 1 Sc 3.09
Sc 0.3518 0.1482 0.5000  6 Bi 2.89-3.14, 1 Sc 3.09
Sc 0.6482 0.8518 0.5000  6 Bi 2.89-3.14, 1 Sc 3.09
Sc 0.8518 0.3518 0.5000  6 Bi 2.89-3.14, 1 Sc 3.09
Bi 0.6646 0.1646 0.0000  2 C 2.75, 2 Sc 2.89
Bi 0.8354 0.6646 0.0000  2 C 2.75, 2 Sc 2.89
Bi 0.1646 0.3354 0.0000  2 C 2.75, 2 Sc 2.89
Bi 0.3354 0.8354 0.0000  2 C 2.75, 2 Sc 2.89

***

(2)
Below is Sc2Bi2C after structural relaxation, with properties calculated at the PBE-GGA level.

Results
SG: I4/mmm
Fermi-level density of states (states/eV/cell): 2.8

abc: 5.7736 5.7736 5.7009
angles: 59.58 59.58 90.00
With the nearest neighbours (Å) after each atom.
Element x y z (fractional)
Sc 0.7500 0.2500 0.5000  4 Bi 2.91
Sc 0.2500 0.7500 0.5000  4 Bi 2.91
C 0.0000 0.0000 0.0000  2 Bi 2.34
Bi 0.2941 0.2941 0.4117  1 C 2.34
Bi 0.7059 0.7059 0.5883  1 C 2.34

***

The most stable of them is (1).

***

(1)
Below is BiCSe2 after structural relaxation, with properties calculated at the PBE-GGA level.

Results
SG: R-3m
Fermi-level density of states (states/eV/cell): 1.8

abc: 8.6186 8.6186 8.6186
angles: 25.81 25.81 25.81
With the nearest neighbours (Å) after each atom.
Element x y z (fractional)
Se 0.0697 0.0697 0.0697  1 C 1.74
Se 0.9303 0.9303 0.9303  1 C 1.74
C 0.0000 0.0000 0.0000  2 Se 1.74
Bi 0.5000 0.5000 0.5000  6 Se 3.29

***

(2)
Below is BiCSe2 after structural relaxation, with properties calculated at the PBE-GGA level.

Results
SG: Fm-3m
Fermi-level density of states (states/eV/cell): 2.3

abc: 4.8882 4.8882 4.8882
angles: 60.00 60.00 60.00
With the nearest neighbours (Å) after each atom.
Element x y z (fractional)
Bi 0.5000 0.5000 0.5000  8 Se 2.99
Se 0.2500 0.2500 0.2500  4 Bi 2.99, 4 C 2.99
Se 0.7500 0.7500 0.7500  4 Bi 2.99, 4 C 2.99
C 0.0000 0.0000 0.0000  8 Se 2.99

***

The most stable of them is (1).

***

(1)
Below is BiCSe2 after structural relaxation, with properties calculated at the PBE-GGA level.

Results
SG: I-42d
Fermi-level density of states (states/eV/cell): 5.6

abc: 6.2489 6.2489 6.5874
angles: 61.69 61.69 90.00
With the nearest neighbours (Å) after each atom.
Element x y z (fractional)
C 0.5000 0.5000 0.0000  4 Se 2.16
C 0.2500 0.7500 0.5000  4 Se 2.16
Se 0.5117 0.1250 0.2500  2 C 2.16
Se 0.3750 0.4883 0.7500  2 C 2.16
Se 0.8750 0.7617 0.7500  2 C 2.16
Se 0.2383 0.6250 0.2500  2 C 2.16
Bi 0.0000 0.0000 0.0000  4 Se 3.01
Bi 0.7500 0.2500 0.5000  4 Se 3.01

***

(2)
Below is BiCSe2 after structural relaxation, with properties calculated at the PBE-GGA level.

Results
SG: R-3m
Fermi-level density of states (states/eV/cell): 2.3

abc: 8.8570 8.8570 8.8570
angles: 21.80 21.80 21.80
With the nearest neighbours (Å) after each atom.
Element x y z (fractional)
C 0.5000 0.5000 0.5000  6 Se 2.36
Se 0.8855 0.8855 0.8855  3 C 2.36
Se 0.1145 0.1145 0.1145  3 C 2.36
Bi 0.0000 0.0000 0.0000  2 Se 2.97

***

The most stable of them is (1).

***

(1)
Below is BiC3Se after structural relaxation, with properties calculated at the PBE-GGA level.

Results
SG: Pm-3m
Fermi-level density of states (states/eV/cell): 3.1

abc: 4.0539 4.0539 4.0539
angles: 90.00 90.00 90.00
With the nearest neighbours (Å) after each atom.
Element x y z (fractional)
C 0.0000 0.5000 0.0000  2 Se 2.03
C 0.0000 0.0000 0.5000  2 Se 2.03
C 0.5000 0.0000 0.0000  2 Se 2.03
Bi 0.5000 0.5000 0.5000  12 C 2.87
Se 0.0000 0.0000 0.0000  6 C 2.03

***

(2)
Below is BiC3Se after structural relaxation, with properties calculated at the PBE-GGA level.

Results
SG: Pm-3m
Fermi-level density of states (states/eV/cell): 4.7

abc: 4.5431 4.5431 4.5431
angles: 90.00 90.00 90.00
With the nearest neighbours (Å) after each atom.
Element x y z (fractional)
C 0.5000 0.0000 0.0000  2 Bi 2.27
C 0.0000 0.0000 0.5000  2 Bi 2.27
C 0.0000 0.5000 0.0000  2 Bi 2.27
Se 0.5000 0.5000 0.5000  12 C 3.21
Bi 0.0000 0.0000 0.0000  6 C 2.27

***

The most stable of them is (1).